Here is Tl2PtRh after structural relaxation from Alexandria. Energies are from GGA-PBEsol.

a b c (Å): 3.073 4.378 5.571
angles (deg): 90.00 90.00 90.00
Space group Pmm2 (No. 25)
Inequivalent atoms, fractional coordinates:
Tl (0.000, 0.000, 0.000) (multiplicity 1)
Tl (0.500, 0.500, 0.374) (multiplicity 1)
Pt (0.000, 0.000, 0.515) (multiplicity 1)
Rh (0.500, 0.500, 0.872) (multiplicity 1)

Output
Total magnetization, μB/f.u.: 0.00
Offset from the most stable computed form, eV/f.u.: 0.34
ΔE_f, kJ/mol of formula units: 71
Final energy, Ry/atom: -0.3606

Here is TlPt2Rh2 after structural relaxation from Alexandria. Energies are from GGA-PBEsol.

a b c (Å): 3.697 3.697 12.508
angles (deg): 90.00 90.00 90.00
Space group I4/mmm (No. 139)
Inequivalent atoms, fractional coordinates:
Tl (0.000, 0.000, 0.000) (multiplicity 2)
Pt (0.000, 0.500, 0.250) (multiplicity 4)
Rh (0.000, 0.000, 0.402) (multiplicity 4)

Output
Total magnetization, μB/f.u.: 0.00
Offset from the most stable computed form, eV/f.u.: 0.00
ΔE_f, kJ/mol of formula units: 145
Final energy, Ry/atom: -0.4606

Here is TlPtRh2 after structural relaxation from Alexandria. Energies are from GGA-PBEsol.

a b c (Å): 2.840 4.797 9.320
angles (deg): 90.00 90.00 90.00
Space group Immm (No. 71)
Inequivalent atoms, fractional coordinates:
Tl (0.000, 0.000, 0.000) (multiplicity 2)
Pt (0.000, 0.000, 0.500) (multiplicity 2)
Rh (0.000, 0.500, 0.245) (multiplicity 4)

Output
Total magnetization, μB/f.u.: 0.00
Offset from the most stable computed form, eV/f.u.: 0.48
ΔE_f, kJ/mol of formula units: 93
Final energy, Ry/atom: -0.4577

Here is TlPtRh2 after structural relaxation from Alexandria. Energies are from GGA-PBEsol.

a b c (Å): 9.154 2.899 4.811
angles (deg): 90.00 100.46 90.00
Space group Cm (No. 8)
Inequivalent atoms, fractional coordinates:
Tl (0.000, 0.000, 0.000) (multiplicity 2)
Pt (0.245, 0.000, 0.729) (multiplicity 2)
Rh (0.252, 0.500, 0.264) (multiplicity 2)
Rh (0.496, 0.000, 0.493) (multiplicity 2)

Output
Total magnetization, μB/f.u.: 0.00
Offset from the most stable computed form, eV/f.u.: 0.00
ΔE_f, kJ/mol of formula units: 46
Final energy, Ry/atom: -0.4665

Here is TlPt2Rh after structural relaxation from Alexandria. Energies are from GGA-PBEsol.

a b c (Å): 9.271 2.985 4.742
angles (deg): 90.00 101.07 90.00
Space group C2/m (No. 12)
Inequivalent atoms, fractional coordinates:
Tl (0.000, 0.000, 0.000) (multiplicity 2)
Pt (0.247, 0.000, 0.736) (multiplicity 4)
Rh (0.000, 0.500, 0.500) (multiplicity 2)

Output
Total magnetization, μB/f.u.: 0.00
ΔE_f, kJ/mol of formula units: 36
Final energy, Ry/atom: -0.4470

Here is Tl2PtRh after structural relaxation from Alexandria. Energies are from GGA-PBEsol.

a b c (Å): 6.144 7.454 3.137
angles (deg): 90.00 90.00 90.00
Space group Cmmm (No. 65)
Inequivalent atoms, fractional coordinates:
Tl (0.250, 0.250, 0.000) (multiplicity 4)
Pt (0.000, 0.000, 0.500) (multiplicity 2)
Rh (0.000, 0.500, 0.500) (multiplicity 2)

Output
Total magnetization, μB/f.u.: 0.00
Offset from the most stable computed form, eV/f.u.: 0.06
ΔE_f, kJ/mol of formula units: 44
Final energy, Ry/atom: -0.3657

Here is Tm2PtRh after structural relaxation from Alexandria. Energies are from GGA-PBEsol.

a b c (Å): 6.722 6.722 6.722
angles (deg): 90.00 90.00 90.00
Space group Fm-3m (No. 225)
Inequivalent atoms, fractional coordinates:
Tm (0.250, 0.250, 0.250) (multiplicity 8)
Pt (0.000, 0.000, 0.000) (multiplicity 4)
Rh (0.000, 0.000, 0.500) (multiplicity 4)

Output
Total magnetization, μB/f.u.: 0.00
ΔE_f, kJ/mol of formula units: -417
Final energy, Ry/atom: -0.5369

Here is VPtRh after structural relaxation from Alexandria. Energies are from GGA-PBEsol.

a b c (Å): 2.699 13.975 4.328
angles (deg): 90.00 90.00 90.00
Space group Cmcm (No. 63)
Inequivalent atoms, fractional coordinates:
V (0.000, 0.114, 0.250) (multiplicity 4)
Pt (0.000, 0.443, 0.250) (multiplicity 4)
Rh (0.000, 0.228, 0.750) (multiplicity 4)

Output
Total magnetization, μB/f.u.: 0.00
ΔE_f, kJ/mol of formula units: -148
Final energy, Ry/atom: -0.6436

Here is PtRh3W after structural relaxation from Alexandria. Energies are from GGA-PBEsol.

a b c (Å): 4.565 4.565 4.565
angles (deg): 90.00 90.00 90.00
Space group Pm-3m (No. 221)
Inequivalent atoms, fractional coordinates:
Pt (0.000, 0.000, 0.000) (multiplicity 1)
Rh (0.000, 0.500, 0.500) (multiplicity 3)
W (0.500, 0.500, 0.500) (multiplicity 1)

Output
Total magnetization, μB/f.u.: 0.00
ΔE_f, kJ/mol of formula units: 724
Final energy, Ry/atom: -0.5539

Here is PtRhW2 after structural relaxation from Alexandria. Energies are from GGA-PBEsol.

a b c (Å): 3.831 3.831 8.025
angles (deg): 90.00 90.00 90.00
Space group I4/mmm (No. 139)
Inequivalent atoms, fractional coordinates:
Pt (0.000, 0.000, 0.000) (multiplicity 2)
Rh (0.000, 0.000, 0.500) (multiplicity 2)
W (0.000, 0.500, 0.250) (multiplicity 4)

Output
Total magnetization, μB/f.u.: 0.00
Offset from the most stable computed form, eV/f.u.: 0.11
ΔE_f, kJ/mol of formula units: -86
Final energy, Ry/atom: -0.8013

Here is PtRhW2 after structural relaxation from Alexandria. Energies are from GGA-PBEsol.

a b c (Å): 2.712 4.005 5.427
angles (deg): 90.00 90.00 90.00
Space group Pmmm (No. 47)
Inequivalent atoms, fractional coordinates:
Pt (0.000, 0.000, 0.000) (multiplicity 1)
Rh (0.000, 0.000, 0.500) (multiplicity 1)
W (0.500, 0.500, 0.256) (multiplicity 2)

Output
Total magnetization, μB/f.u.: 0.00
Offset from the most stable computed form, eV/f.u.: 0.15
ΔE_f, kJ/mol of formula units: -82
Final energy, Ry/atom: -0.8006

Here is PtRhW2 after structural relaxation from Alexandria. Energies are from GGA-PBEsol.

a b c (Å): 2.711 2.711 8.018
angles (deg): 90.00 90.00 90.00
Space group P4/mmm (No. 123)
Inequivalent atoms, fractional coordinates:
Pt (0.000, 0.000, 0.000) (multiplicity 1)
Rh (0.000, 0.000, 0.500) (multiplicity 1)
W (0.500, 0.500, 0.257) (multiplicity 2)

Output
Total magnetization, μB/f.u.: 0.00
Offset from the most stable computed form, eV/f.u.: 0.19
ΔE_f, kJ/mol of formula units: -78
Final energy, Ry/atom: -0.7998